[1]
Computed, not measured: a relaxed CuB4Pd crystal at the PBE level of DFT.

Values from the calculation:
E above lowest polymorph   0 meV/atom

Geometry as CIF:
```
data_CuB4Pd
_symmetry_space_group_name_H-M 'I m m m'
_symmetry_Int_Tables_number 71
_symmetry_space_group_name_Hall '-I 2 2'
_cell_length_a 2.9996
_cell_length_b 5.2005
_cell_length_c 7.0574
_cell_angle_alpha 90.00
_cell_angle_beta 90.00
_cell_angle_gamma 90.00
loop_
_atom_site_label
_atom_site_type_symbol
_atom_site_fract_x
_atom_site_fract_y
_atom_site_fract_z
_atom_site_occupancy
Cu1 Cu 0.0000 0.0000 0.0000 1
B1 B 0.0000 0.3358 0.2590 1
Pd1 Pd 0.0000 0.0000 0.5000 1
```

[2]
Computed, not measured: a relaxed NaCd4As3 crystal at the PBE level of DFT.

Values from the calculation:
Raw total energy   -2.578 eV/atom

Geometry as CIF:
```
data_NaCd4As3
_symmetry_space_group_name_H-M 'C 1 m 1'
_symmetry_Int_Tables_number 8
_symmetry_space_group_name_Hall 'C -2y'
_cell_length_a 7.7774
_cell_length_b 13.4745
_cell_length_c 11.5384
_cell_angle_alpha 90.00
_cell_angle_beta 102.99
_cell_angle_gamma 90.00
loop_
_atom_site_label
_atom_site_type_symbol
_atom_site_fract_x
_atom_site_fract_y
_atom_site_fract_z
_atom_site_occupancy
Na1 Na 0.0000 0.0000 0.0000 1
Na2 Na 0.4927 0.1673 0.9998 1
Cd1 Cd 0.0879 0.1667 0.7804 1
Cd2 Cd 0.0945 0.5000 0.7982 1
Cd3 Cd 0.1901 0.3388 0.6037 1
Cd4 Cd 0.2067 0.0000 0.6031 1
Cd5 Cd 0.2872 0.1724 0.3949 1
Cd6 Cd 0.3036 0.5000 0.3938 1
Cd7 Cd 0.3974 0.3336 0.2087 1
Cd8 Cd 0.4029 0.0000 0.2235 1
As1 As 0.2107 0.5000 0.1536 1
As2 As 0.2142 0.1658 0.1554 1
As3 As 0.2739 0.0000 0.8424 1
As4 As 0.2766 0.3323 0.8433 1
As5 As 0.4923 0.0000 0.4919 1
As6 As 0.4949 0.3335 0.5025 1
```

[3]
Computed, not measured: a relaxed NpAlSi2 crystal at the PBE level of DFT.

Values from the calculation:
Raw total energy   -7.114 eV/atom

Geometry as CIF:
```
data_NpAlSi2
_symmetry_space_group_name_H-M 'P 4/m m m'
_symmetry_Int_Tables_number 123
_symmetry_space_group_name_Hall '-P 4 2'
_cell_length_a 4.1784
_cell_length_b 4.1784
_cell_length_c 3.9122
_cell_angle_alpha 90.00
_cell_angle_beta 90.00
_cell_angle_gamma 90.00
loop_
_atom_site_label
_atom_site_type_symbol
_atom_site_fract_x
_atom_site_fract_y
_atom_site_fract_z
_atom_site_occupancy
Np1 Np 0.0000 0.0000 0.0000 1
Al1 Al 0.5000 0.5000 0.0000 1
Si1 Si 0.0000 0.5000 0.5000 1
```

[4]
Computed, not measured: a relaxed ZrAs crystal at the PBE level of DFT.

Values from the calculation:
Raw total energy   -7.169 eV/atom

Geometry as CIF:
```
data_ZrAs
_symmetry_space_group_name_H-M 'P 1 21/m 1'
_symmetry_Int_Tables_number 11
_symmetry_space_group_name_Hall '-P 2yb'
_cell_length_a 5.7394
_cell_length_b 5.2182
_cell_length_c 8.2602
_cell_angle_alpha 90.00
_cell_angle_beta 95.59
_cell_angle_gamma 90.00
loop_
_atom_site_label
_atom_site_type_symbol
_atom_site_fract_x
_atom_site_fract_y
_atom_site_fract_z
_atom_site_occupancy
Zr1 Zr 0.0796 0.2500 0.1056 1
Zr2 Zr 0.2760 0.7500 0.3014 1
Zr3 Zr 0.4165 0.7500 0.8965 1
As1 As 0.0503 0.7500 0.5923 1
As2 As 0.2619 0.2500 0.8160 1
As3 As 0.4301 0.2500 0.3976 1
```

[5]
Computed, not measured: a relaxed GaPPt5 crystal at the PBE level of DFT.

Values from the calculation:
Raw total energy   -5.989 eV/atom

Geometry as CIF:
```
data_GaPPt5
_symmetry_space_group_name_H-M 'P 4/m m m'
_symmetry_Int_Tables_number 123
_symmetry_space_group_name_Hall '-P 4 2'
_cell_length_a 3.9444
_cell_length_b 3.9444
_cell_length_c 6.9487
_cell_angle_alpha 90.00
_cell_angle_beta 90.00
_cell_angle_gamma 90.00
loop_
_atom_site_label
_atom_site_type_symbol
_atom_site_fract_x
_atom_site_fract_y
_atom_site_fract_z
_atom_site_occupancy
Ga1 Ga 0.0000 0.0000 0.0000 1
P1 P 0.5000 0.5000 0.5000 1
Pt1 Pt 0.0000 0.5000 0.2912 1
Pt2 Pt 0.5000 0.5000 0.0000 1
```

[6]
Computed, not measured: a relaxed ErTm2WC3 crystal at the PBE level of DFT.

Values from the calculation:
Raw total energy   -8.000 eV/atom

Geometry as CIF:
```
data_ErTm2WC3
_symmetry_space_group_name_H-M 'C 1 m 1'
_symmetry_Int_Tables_number 8
_symmetry_space_group_name_Hall 'C -2y'
_cell_length_a 12.2238
_cell_length_b 3.2949
_cell_length_c 5.8567
_cell_angle_alpha 90.00
_cell_angle_beta 113.21
_cell_angle_gamma 90.00
loop_
_atom_site_label
_atom_site_type_symbol
_atom_site_fract_x
_atom_site_fract_y
_atom_site_fract_z
_atom_site_occupancy
Er1 Er 0.0000 0.0000 0.0000 1
Tm1 Tm 0.0202 0.5000 0.4929 1
Tm2 Tm 0.2607 0.0000 0.5413 1
W1 W 0.2359 0.5000 0.0219 1
C1 C 0.1329 0.0000 0.7722 1
C2 C 0.1501 0.5000 0.2596 1
C3 C 0.3554 0.0000 0.0415 1
```

[7]
Computed, not measured: a relaxed PuSeS crystal at the PBE level of DFT.

Values from the calculation:
E above lowest polymorph   103 meV/atom

Geometry as CIF:
```
data_PuSeS
_symmetry_space_group_name_H-M 'P -1'
_symmetry_Int_Tables_number 2
_symmetry_space_group_name_Hall '-P 1'
_cell_length_a 6.4284
_cell_length_b 8.1963
_cell_length_c 8.1996
_cell_angle_alpha 119.96
_cell_angle_beta 90.71
_cell_angle_gamma 108.87
loop_
_atom_site_label
_atom_site_type_symbol
_atom_site_fract_x
_atom_site_fract_y
_atom_site_fract_z
_atom_site_occupancy
Pu1 Pu 0.0112 0.0006 0.2446 1
Pu2 Pu 0.0183 0.5017 0.2448 1
Se1 Se 0.2419 0.2557 0.6344 1
Se2 Se 0.2438 0.7527 0.6362 1
S1 S 0.2198 0.7405 0.1152 1
S2 S 0.2229 0.2382 0.1171 1
```

[8]
Computed, not measured: a relaxed LiNiAuSeS2 crystal at the PBE level of DFT.

Values from the calculation:
Raw total energy   -4.066 eV/atom

Geometry as CIF:
```
data_LiNiAuSeS2
_symmetry_space_group_name_H-M 'C m c m'
_symmetry_Int_Tables_number 63
_symmetry_space_group_name_Hall '-C 2c 2'
_cell_length_a 3.2723
_cell_length_b 13.6869
_cell_length_c 9.7168
_cell_angle_alpha 90.00
_cell_angle_beta 90.00
_cell_angle_gamma 90.00
loop_
_atom_site_label
_atom_site_type_symbol
_atom_site_fract_x
_atom_site_fract_y
_atom_site_fract_z
_atom_site_occupancy
Li1 Li 0.0000 0.2000 0.2500 1
Ni1 Ni 0.0000 0.5000 0.0000 1
Au1 Au 0.0000 0.1435 0.7500 1
Se1 Se 0.0000 0.4465 0.7500 1
S1 S 0.0000 0.1155 0.5129 1
```

[9]
Computed, not measured: a relaxed YBeAsOs crystal at the PBE level of DFT.

Values from the calculation:
E above lowest polymorph   394 meV/atom

Geometry as CIF:
```
data_YBeAsOs
_symmetry_space_group_name_H-M 'F -4 3 m'
_symmetry_Int_Tables_number 216
_symmetry_space_group_name_Hall 'F -4 2 3'
_cell_length_a 6.4856
_cell_length_b 6.4856
_cell_length_c 6.4856
_cell_angle_alpha 90.00
_cell_angle_beta 90.00
_cell_angle_gamma 90.00
loop_
_atom_site_label
_atom_site_type_symbol
_atom_site_fract_x
_atom_site_fract_y
_atom_site_fract_z
_atom_site_occupancy
Y1 Y 0.0000 0.0000 0.0000 1
Be1 Be 0.0000 0.0000 0.5000 1
As1 As 0.2500 0.2500 0.7500 1
Os1 Os 0.2500 0.2500 0.2500 1
```

[10]
Computed, not measured: a relaxed HfAlNO2 crystal at the PBE level of DFT.

Values from the calculation:
Raw total energy   -8.717 eV/atom

Geometry as CIF:
```
data_HfAlNO2
_symmetry_space_group_name_H-M 'P 4 m m'
_symmetry_Int_Tables_number 99
_symmetry_space_group_name_Hall 'P 4 -2'
_cell_length_a 3.3324
_cell_length_b 3.3324
_cell_length_c 4.7624
_cell_angle_alpha 90.00
_cell_angle_beta 90.00
_cell_angle_gamma 90.00
loop_
_atom_site_label
_atom_site_type_symbol
_atom_site_fract_x
_atom_site_fract_y
_atom_site_fract_z
_atom_site_occupancy
Hf1 Hf 0.0000 0.0000 0.0000 1
Al1 Al 0.5000 0.5000 0.4386 1
N1 N 0.5000 0.5000 0.8250 1
O1 O 0.0000 0.5000 0.2845 1
```

[11]
Computed, not measured: a relaxed Y2Ag2Sn crystal at the PBE level of DFT.

Values from the calculation:
E above lowest polymorph   0 meV/atom

Geometry as CIF:
```
data_Y2Ag2Sn
_symmetry_space_group_name_H-M 'P -3 m 1'
_symmetry_Int_Tables_number 164
_symmetry_space_group_name_Hall '-P 3 2"'
_cell_length_a 4.7737
_cell_length_b 4.7737
_cell_length_c 6.4144
_cell_angle_alpha 90.00
_cell_angle_beta 90.00
_cell_angle_gamma 120.00
loop_
_atom_site_label
_atom_site_type_symbol
_atom_site_fract_x
_atom_site_fract_y
_atom_site_fract_z
_atom_site_occupancy
Y1 Y 0.3333 0.6667 0.1932 1
Ag1 Ag 0.3333 0.6667 0.6982 1
Sn1 Sn 0.0000 0.0000 0.5000 1
```

[12]
Computed, not measured: a relaxed Sc2Cu3Au crystal at the PBE level of DFT.

Values from the calculation:
Calculated formation energy   -405 meV/atom

Geometry as CIF:
```
data_Sc2Cu3Au
_symmetry_space_group_name_H-M 'P 4 m m'
_symmetry_Int_Tables_number 99
_symmetry_space_group_name_Hall 'P 4 -2'
_cell_length_a 3.3632
_cell_length_b 3.3632
_cell_length_c 8.4479
_cell_angle_alpha 90.00
_cell_angle_beta 90.00
_cell_angle_gamma 90.00
loop_
_atom_site_label
_atom_site_type_symbol
_atom_site_fract_x
_atom_site_fract_y
_atom_site_fract_z
_atom_site_occupancy
Sc1 Sc 0.0000 0.0000 0.0000 1
Sc2 Sc 0.5000 0.5000 0.4862 1
Cu1 Cu 0.0000 0.0000 0.3201 1
Cu2 Cu 0.0000 0.0000 0.6503 1
Cu3 Cu 0.5000 0.5000 0.1702 1
Au1 Au 0.5000 0.5000 0.8230 1
```